A relaxed structure of TmHfTh2P4, computed with GGA-PBE.

Cell: 6.8642 3.9805 6.9053 Å, 90.00 109.42 90.00°
Space group P2/m (No. 10)
Unique sites:
Tm: 0.0000 0.0000 0.0000 [1 per cell]
Hf: 0.0000 0.5000 0.5000 [1 per cell]
Th: 0.5000 0.0000 0.5000 [1 per cell]
Th: 0.5000 0.5000 0.0000 [1 per cell]
P: 0.2262 0.0000 0.7358 [2 per cell]
P: 0.2307 0.5000 0.2504 [2 per cell]


A relaxed structure of YHfTh2P4, computed with GGA-PBE.

Cell: 6.8933 3.9970 6.9326 Å, 90.00 109.41 90.00°
Space group P2/m (No. 10)
Unique sites:
Y: 0.0000 0.0000 0.0000 [1 per cell]
Hf: 0.0000 0.5000 0.5000 [1 per cell]
Th: 0.5000 0.0000 0.5000 [1 per cell]
Th: 0.5000 0.5000 0.0000 [1 per cell]
P: 0.2278 0.0000 0.7342 [2 per cell]
P: 0.2339 0.5000 0.2536 [2 per cell]


A relaxed structure of Hf5Ti2P4, computed with GGA-PBE.

Cell: 17.9760 3.5528 6.7855 Å, 90.00 105.96 90.00°
Space group C2/m (No. 12)
Unique sites:
Hf: 0.0000 0.0000 0.0000 [2 per cell]
Hf: 0.0993 0.5000 0.4684 [4 per cell]
Hf: 0.1736 0.5000 0.9734 [4 per cell]
Ti: 0.2093 0.0000 0.3341 [4 per cell]
P: 0.0350 0.5000 0.7645 [4 per cell]
P: 0.1980 0.0000 0.6999 [4 per cell]


A relaxed structure of HfTi5P2, computed with GGA-PBE.

Cell: 3.4593 7.8850 9.5025 Å, 90.00 90.00 90.00°
Space group Immm (No. 71)
Unique sites:
Hf: 0.0000 0.0000 0.0000 [2 per cell]
Ti: 0.0000 0.1955 0.3510 [8 per cell]
Ti: 0.0000 0.5000 0.0000 [2 per cell]
P: 0.0000 0.5000 0.2699 [4 per cell]


A relaxed structure of Hf5Ti2P5, computed with GGA-PBE.

Cell: 11.7815 3.5553 10.6989 Å, 90.00 107.52 90.00°
Space group C2/m (No. 12)
Unique sites:
Hf: 0.0000 0.0000 0.0000 [2 per cell]
Hf: 0.1617 0.0000 0.5500 [4 per cell]
Hf: 0.2440 0.0000 0.8532 [4 per cell]
Ti: 0.0282 0.5000 0.2901 [4 per cell]
P: 0.0000 0.5000 0.5000 [2 per cell]
P: 0.1173 0.5000 0.9189 [4 per cell]
P: 0.1778 0.0000 0.2938 [4 per cell]


A relaxed structure of HfTi4P2, computed with GGA-PBE.

Cell: 8.2780 8.2780 3.3008 Å, 90.00 90.00 90.00°
Space group P4_2/mnm (No. 136)
Unique sites:
Hf: 0.0000 0.0000 0.0000 [2 per cell]
Ti: 0.0898 0.3255 0.5000 [8 per cell]
P: 0.1831 0.8169 0.5000 [4 per cell]


A relaxed structure of Hf2TiP3, computed with GGA-PBE.

Cell: 3.6343 3.6343 18.0087 Å, 90.00 90.00 120.00°
Space group P6_3/mmc (No. 194)
Unique sites:
Hf: 0.3333 0.6667 0.0871 [4 per cell]
Ti: 0.0000 0.0000 0.2500 [2 per cell]
P: 0.0000 0.0000 0.0000 [2 per cell]
P: 0.3333 0.6667 0.6720 [4 per cell]


A relaxed structure of HfTiP2, computed with GGA-PBE.

Offset from the most stable computed form in eV/atom: 0.645

Cell: 5.6661 5.6661 11.4001 Å, 90.00 90.00 90.00°
Space group I-42d (No. 122)
Unique sites:
Hf: 0.0000 0.0000 0.0000 [4 per cell]
Ti: 0.0000 0.0000 0.5000 [4 per cell]
P: 0.2344 0.2500 0.6250 [8 per cell]


Calculated formation energy list, top to bottom, in kJ per mole of atoms: -141.52 -141.64 -83.00 -68.58 -100.74 -82.60 -110.52 -52.41
Uncorrected energy list, top to bottom, in eV/atom: -7.83 -8.08 -8.79 -8.24 -8.76 -8.34 -8.48 -7.71